Record 1
A plane-wave DFT calculation with PBE was carried out for a geometry-optimized Mo3AsSe structure.

a b c (Å): 4.633 4.633 4.633
angles (deg): 90.00 90.00 90.00
Atoms (fractional coordinates):
Se 0.000 0.000 0.000
As 0.500 0.500 0.500
Mo 0.000 0.000 0.500
Mo 0.000 0.500 0.000
Mo 0.500 0.000 0.000

Values from the calculation:
As for the energy above the most stable polymorph in this dataset: 0 kJ/mol of formula units. The final energy is -34.5 eV for the cell shown. The energy relative to the elements, uncorrected is 1.221 eV per atom. For the spin magnetization, the calculation gives 1.3 μB per formula unit.

=====

Record 2
A plane-wave DFT calculation with PBE was carried out for a geometry-optimized Mo2AsSe structure.

a b c (Å): 3.210 3.210 6.985
angles (deg): 90.00 90.00 90.00
Atoms (fractional coordinates):
Mo 0.000 0.000 0.990
Mo 0.500 0.500 0.252
Se 0.000 0.000 0.434
As 0.500 0.500 0.824

Values from the calculation:
As for the energy above the most stable polymorph in this dataset: 6 kJ/mol of formula units. The final energy is -30.0 eV for the cell shown. The energy relative to the elements, uncorrected is -0.054 eV per atom. For the spin magnetization, the calculation gives 0.0 μB per formula unit.

=====

Record 3
A plane-wave DFT calculation with PBE was carried out for a geometry-optimized Mo2AsSe structure.

a b c (Å): 4.846 4.846 4.846
angles (deg): 130.12 130.12 73.21
Atoms (fractional coordinates):
As 0.750 0.250 0.500
Mo 0.250 0.750 0.500
Mo 0.000 0.000 0.000
Se 0.500 0.500 0.000

Values from the calculation:
As for the energy above the most stable polymorph in this dataset: 155 kJ/mol of formula units. The final energy is -28.5 eV for the cell shown. The energy relative to the elements, uncorrected is 0.333 eV per atom. For the spin magnetization, the calculation gives 0.0 μB per formula unit.

=====

Record 4
A plane-wave DFT calculation with PBE was carried out for a geometry-optimized Mo2AsSe structure.

a b c (Å): 3.052 3.052 8.122
angles (deg): 90.00 90.00 117.56
Atoms (fractional coordinates):
Se 0.500 0.500 0.250
As 0.500 0.500 0.750
Mo 0.000 0.000 0.504
Mo 0.000 0.000 0.996

Values from the calculation:
As for the energy above the most stable polymorph in this dataset: 194 kJ/mol of formula units. The final energy is -28.1 eV for the cell shown. The energy relative to the elements, uncorrected is 0.432 eV per atom. For the spin magnetization, the calculation gives 0.0 μB per formula unit.

=====

Record 5
A plane-wave DFT calculation with PBE was carried out for a geometry-optimized MoAsSe2 structure.

a b c (Å): 6.268 6.268 6.838
angles (deg): 62.72 62.72 90.00
Atoms (fractional coordinates):
Mo 0.750 0.250 0.500
Mo 0.000 0.000 0.000
Se 0.665 0.125 0.250
Se 0.875 0.915 0.750
Se 0.375 0.335 0.750
Se 0.085 0.625 0.250
As 0.250 0.750 0.500
As 0.500 0.500 0.000

Values from the calculation:
The final energy is -41.7 eV for the cell shown. The energy relative to the elements, uncorrected is 0.399 eV per atom. For the spin magnetization, the calculation gives 0.0 μB per formula unit.

=====

Record 6
A plane-wave DFT calculation with PBE was carried out for a geometry-optimized Mo2AsSe structure.

a b c (Å): 5.692 5.692 6.992
angles (deg): 65.98 65.98 90.00
Atoms (fractional coordinates):
Mo 0.375 0.376 0.750
Mo 0.875 0.874 0.750
Mo 0.126 0.625 0.250
Mo 0.624 0.125 0.250
Se 0.000 0.000 0.000
Se 0.750 0.250 0.500
As 0.500 0.500 0.000
As 0.250 0.750 0.500

Values from the calculation:
As for the energy above the most stable polymorph in this dataset: 233 kJ/mol of formula units. The final energy is -55.3 eV for the cell shown. The energy relative to the elements, uncorrected is 0.534 eV per atom. For the spin magnetization, the calculation gives 2.8 μB per formula unit.

=====

Record 7
A plane-wave DFT calculation with PBE was carried out for a geometry-optimized Mo2AsSe structure.

a b c (Å): 3.087 5.350 5.306
angles (deg): 47.67 90.00 90.00
Atoms (fractional coordinates):
Mo 0.000 0.000 0.000
Mo 0.500 0.500 0.000
As 0.000 0.000 0.500
Se 0.500 0.500 0.500

Values from the calculation:
As for the energy above the most stable polymorph in this dataset: 82 kJ/mol of formula units. The final energy is -29.2 eV for the cell shown. The energy relative to the elements, uncorrected is 0.142 eV per atom. For the spin magnetization, the calculation gives 0.0 μB per formula unit.

=====

Record 8
A plane-wave DFT calculation with PBE was carried out for a geometry-optimized SiMoAsSe2 structure.

a b c (Å): 4.758 4.758 4.729
angles (deg): 90.00 90.00 90.00
Atoms (fractional coordinates):
Mo 0.500 0.500 0.500
Si 0.000 0.000 0.000
Se 0.000 0.500 0.000
Se 0.500 0.000 0.000
As 0.000 0.000 0.500

Values from the calculation:
As for the energy above the most stable polymorph in this dataset: 101 kJ/mol of formula units. The final energy is -23.6 eV for the cell shown. The energy relative to the elements, uncorrected is 0.864 eV per atom. For the spin magnetization, the calculation gives 2.6 μB per formula unit.

=====

Record 9
A plane-wave DFT calculation with PBE was carried out for a geometry-optimized SiMoAsSe2 structure.

a b c (Å): 4.944 4.944 4.868
angles (deg): 90.00 90.00 90.00
Atoms (fractional coordinates):
Se 0.500 0.000 0.000
Se 0.000 0.500 0.000
As 0.000 0.000 0.500
Si 0.500 0.500 0.500
Mo 0.000 0.000 0.000

Values from the calculation:
As for the energy above the most stable polymorph in this dataset: 0 kJ/mol of formula units. The final energy is -24.6 eV for the cell shown. The energy relative to the elements, uncorrected is 0.653 eV per atom. For the spin magnetization, the calculation gives 0.7 μB per formula unit.

=====

Record 10
A plane-wave DFT calculation with PBE was carried out for a geometry-optimized SiMoAs2Se structure.

a b c (Å): 4.870 4.870 4.965
angles (deg): 90.00 90.00 90.00
Atoms (fractional coordinates):
Se 0.000 0.000 0.500
Si 0.500 0.500 0.500
Mo 0.000 0.000 0.000
As 0.500 0.000 0.000
As 0.000 0.500 0.000

Values from the calculation:
As for the energy above the most stable polymorph in this dataset: 0 kJ/mol of formula units. The final energy is -25.4 eV for the cell shown. The energy relative to the elements, uncorrected is 0.726 eV per atom. For the spin magnetization, the calculation gives 0.5 μB per formula unit.

=====

Record 11
A plane-wave DFT calculation with PBE was carried out for a geometry-optimized SiMoAs2Se structure.

a b c (Å): 4.690 4.690 4.766
angles (deg): 90.00 90.00 90.00
Atoms (fractional coordinates):
Se 0.000 0.000 0.500
Si 0.000 0.000 0.000
As 0.000 0.500 0.000
As 0.500 0.000 0.000
Mo 0.500 0.500 0.500

Values from the calculation:
As for the energy above the most stable polymorph in this dataset: 109 kJ/mol of formula units. The final energy is -24.3 eV for the cell shown. The energy relative to the elements, uncorrected is 0.951 eV per atom. For the spin magnetization, the calculation gives 2.6 μB per formula unit.

=====

Record 12
A plane-wave DFT calculation with PBE was carried out for a geometry-optimized SrMoAs2Se structure.

a b c (Å): 5.356 5.356 5.425
angles (deg): 90.00 90.00 90.00
Atoms (fractional coordinates):
As 0.500 0.000 0.000
As 0.000 0.500 0.000
Mo 0.500 0.500 0.500
Sr 0.000 0.000 0.000
Se 0.000 0.000 0.500

Values from the calculation:
As for the energy above the most stable polymorph in this dataset: 1036 kJ/mol of formula units. The final energy is -16.5 eV for the cell shown. The energy relative to the elements, uncorrected is 1.750 eV per atom. For the spin magnetization, the calculation gives 0.0 μB per formula unit.

=====

Record 13
A plane-wave DFT calculation with PBE was carried out for a geometry-optimized SrMoAsSe2 structure.

a b c (Å): 5.115 5.115 4.847
angles (deg): 90.00 90.00 90.00
Atoms (fractional coordinates):
Sr 0.500 0.500 0.500
Se 0.500 0.000 0.000
Se 0.000 0.500 0.000
Mo 0.000 0.000 0.000
As 0.000 0.000 0.500

Values from the calculation:
As for the energy above the most stable polymorph in this dataset: 0 kJ/mol of formula units. The final energy is -26.7 eV for the cell shown. The energy relative to the elements, uncorrected is -0.514 eV per atom. For the spin magnetization, the calculation gives 0.4 μB per formula unit.

=====

Record 14
A plane-wave DFT calculation with PBE was carried out for a geometry-optimized SrMoAsSe2 structure.

a b c (Å): 5.647 5.647 5.615
angles (deg): 90.00 90.00 90.00
Atoms (fractional coordinates):
Mo 0.500 0.500 0.500
Se 0.000 0.500 0.000
Se 0.500 0.000 0.000
Sr 0.000 0.000 0.000
As 0.000 0.000 0.500

Values from the calculation:
As for the energy above the most stable polymorph in this dataset: 781 kJ/mol of formula units. The final energy is -18.6 eV for the cell shown. The energy relative to the elements, uncorrected is 1.104 eV per atom. For the spin magnetization, the calculation gives 2.5 μB per formula unit.

=====

Record 15
A plane-wave DFT calculation with PBE was carried out for a geometry-optimized SrMoAs2Se structure.

a b c (Å): 4.833 4.833 5.452
angles (deg): 90.00 90.00 90.00
Atoms (fractional coordinates):
Mo 0.000 0.000 0.000
Sr 0.500 0.500 0.500
As 0.500 0.000 0.000
As 0.000 0.500 0.000
Se 0.000 0.000 0.500

Values from the calculation:
As for the energy above the most stable polymorph in this dataset: 0 kJ/mol of formula units. The final energy is -27.3 eV for the cell shown. The energy relative to the elements, uncorrected is -0.397 eV per atom. For the spin magnetization, the calculation gives 0.0 μB per formula unit.